(1)
Here is ReSeCl2 after structural relaxation from the Alexandria database. Energies are from PBE.

Structure (POSCAR):
```
ReSeCl2
1.0
1.694 0.000 12.630
-0.847 1.467 12.630
-0.847 -1.467 12.630
Re Se Cl
1 1 2
Direct
0.000 0.000 0.000
0.500 0.500 0.500
0.941 0.941 0.941
0.059 0.059 0.059
```

Properties
The calculation puts the size of the total moment at 0.00 μB per cell. As for the calculated volume: 23.5 Å³ per atom. Its density of states at the Fermi level is 3.7 states/eV/cell. The distance to the lowest polymorph of the same formula comes out at 0.450 eV/atom. The formation energy without anion corrections is 256 meV/atom.

---

(2)
Here is Pm3Er4Zn after structural relaxation from the Alexandria database. Energies are from PBE.

Structure (POSCAR):
```
Pm3Er4Zn
1.0
-2.919 1.907 0.727
-0.973 -0.186 -3.420
-9.493 -15.889 3.566
Zn Er Pm
1 4 3
Direct
0.500 0.500 0.000
0.000 0.000 0.907
0.000 0.000 0.093
0.000 0.000 0.365
0.000 0.000 0.635
0.500 0.500 0.230
0.500 0.500 0.500
0.500 0.500 0.770
```

Properties
The calculation puts the size of the total moment at 0.00 μB per cell. As for the calculated volume: 29.9 Å³ per atom. Its energy of formation from the pure elements is -0.0741 eV per atom. Its density of states at the Fermi level is 9.4 states/eV/cell.

---

(3)
Here is Pm2Nd2Au after structural relaxation from the Alexandria database. Energies are from PBE.

Structure (POSCAR):
```
Pm2Nd2Au
1.0
-5.938 -2.889 3.925
0.504 -2.791 6.225
-4.428 5.114 5.223
Pm Nd Au
4 4 2
Direct
0.781 0.000 0.426
0.615 0.000 0.121
0.385 0.000 0.879
0.219 0.000 0.574
0.624 0.422 0.740
0.376 0.578 0.260
0.045 0.578 0.740
0.955 0.422 0.260
0.135 0.729 0.000
0.865 0.271 0.000
```

Properties
The calculation puts the size of the total moment at 0.00 μB per cell. As for the calculated volume: 32.4 Å³ per atom. Its energy of formation from the pure elements is -0.1939 eV per atom. Its density of states at the Fermi level is 10.1 states/eV/cell.

---

(4)
Here is Sr2GaPd after structural relaxation from the Alexandria database. Energies are from PBE.

Structure (POSCAR):
```
Sr2GaPd
1.0
4.485 0.000 0.000
2.243 3.882 0.018
2.243 1.260 7.843
Sr Ga Pd
2 1 1
Direct
0.888 0.652 0.572
0.717 0.479 0.087
0.469 0.232 0.830
0.136 0.899 0.829
```

Properties
The calculation puts the size of the total moment at 0.00 μB per cell. As for the calculated volume: 34.1 Å³ per atom. Its energy of formation from the pure elements is -0.5496 eV per atom. Its density of states at the Fermi level is 3.2 states/eV/cell.

---

(5)
Here is SnMoSe2Br after structural relaxation from the Alexandria database. Energies are from PBE.

Structure (POSCAR):
```
SnMoSe2Br
1.0
4.927 0.000 0.000
0.000 4.927 0.000
0.000 0.000 5.319
Mo Se Sn Br
1 2 1 1
Direct
0.000 0.000 0.000
0.000 0.500 0.000
0.500 0.000 0.000
0.500 0.500 0.500
0.000 0.000 0.500
```

Properties
The calculation puts the size of the total moment at 0.00 μB per cell. As for the calculated volume: 25.8 Å³ per atom. Its density of states at the Fermi level is 4.5 states/eV/cell. The distance to the lowest polymorph of the same formula comes out at 0.000 eV/atom. The formation energy without anion corrections is 92 meV/atom.

---

(6)
Here is NaAc2Eu after structural relaxation from the Alexandria database. Energies are from PBE.

Structure (POSCAR):
```
NaAc2Eu
1.0
-3.635 1.516 4.794
0.995 -2.540 5.572
2.254 3.461 4.629
Eu Na Ac
1 1 2
Direct
0.000 0.000 0.000
0.500 0.500 0.500
0.250 0.250 0.250
0.750 0.750 0.750
```

Properties
The calculation puts the size of the total moment at 7.53 μB per cell. As for the calculated volume: 42.2 Å³ per atom. Its energy of formation from the pure elements is 0.1797 eV per atom. Its density of states at the Fermi level is 11.1 states/eV/cell. The distance to the lowest polymorph of the same formula comes out at 0.048 eV/atom.

---

(7)
Here is ZrCuF3 after structural relaxation from the Alexandria database. Energies are from PBE.

Structure (POSCAR):
```
ZrCuF3
1.0
4.105 0.000 0.000
0.000 4.105 0.000
0.000 0.000 4.105
Cu Zr F
1 1 3
Direct
0.000 0.000 0.000
0.500 0.500 0.500
0.000 0.500 0.000
0.000 0.000 0.500
0.500 0.000 0.000
```

Properties
The calculation puts the size of the total moment at 1.93 μB per cell. As for the calculated volume: 13.8 Å³ per atom. Its density of states at the Fermi level is 4.2 states/eV/cell. The distance to the lowest polymorph of the same formula comes out at 0.763 eV/atom. The formation energy without anion corrections is -1241 meV/atom.

---

(8)
Here is Na5Cd2Sb4 after structural relaxation from the Alexandria database. Energies are from PBE.

Structure (POSCAR):
```
Na5Cd2Sb4
1.0
-3.199 -1.119 -0.946
0.204 -5.336 5.623
-4.171 11.744 6.749
Na Cd Sb
5 2 4
Direct
0.116 0.826 0.232
0.884 0.174 0.768
0.217 0.313 0.435
0.500 0.000 0.000
0.783 0.687 0.565
0.898 0.682 0.796
0.102 0.318 0.204
0.669 0.579 0.338
0.001 0.681 0.001
0.331 0.421 0.662
0.999 0.319 0.999
```

Properties
The calculation puts the size of the total moment at 0.00 μB per cell. As for the calculated volume: 33.9 Å³ per atom. Its density of states at the Fermi level is 2.5 states/eV/cell. The formation energy without anion corrections is -108 meV/atom.

---

Which of these has the lowest calculated volume? ZrCuF3

---

Copy entry 3 word for word.
Here is Pm2Nd2Au after structural relaxation from the Alexandria database. Energies are from PBE.

Structure (POSCAR):
```
Pm2Nd2Au
1.0
-5.938 -2.889 3.925
0.504 -2.791 6.225
-4.428 5.114 5.223
Pm Nd Au
4 4 2
Direct
0.781 0.000 0.426
0.615 0.000 0.121
0.385 0.000 0.879
0.219 0.000 0.574
0.624 0.422 0.740
0.376 0.578 0.260
0.045 0.578 0.740
0.955 0.422 0.260
0.135 0.729 0.000
0.865 0.271 0.000
```

Properties
The calculation puts the size of the total moment at 0.00 μB per cell. As for the calculated volume: 32.4 Å³ per atom. Its energy of formation from the pure elements is -0.1939 eV per atom. Its density of states at the Fermi level is 10.1 states/eV/cell.

---

Repeat the fifth record exactly.
Here is SnMoSe2Br after structural relaxation from the Alexandria database. Energies are from PBE.

Structure (POSCAR):
```
SnMoSe2Br
1.0
4.927 0.000 0.000
0.000 4.927 0.000
0.000 0.000 5.319
Mo Se Sn Br
1 2 1 1
Direct
0.000 0.000 0.000
0.000 0.500 0.000
0.500 0.000 0.000
0.500 0.500 0.500
0.000 0.000 0.500
```

Properties
The calculation puts the size of the total moment at 0.00 μB per cell. As for the calculated volume: 25.8 Å³ per atom. Its density of states at the Fermi level is 4.5 states/eV/cell. The distance to the lowest polymorph of the same formula comes out at 0.000 eV/atom. The formation energy without anion corrections is 92 meV/atom.

---

Please write out number 6 again, unchanged.
Here is NaAc2Eu after structural relaxation from the Alexandria database. Energies are from PBE.

Structure (POSCAR):
```
NaAc2Eu
1.0
-3.635 1.516 4.794
0.995 -2.540 5.572
2.254 3.461 4.629
Eu Na Ac
1 1 2
Direct
0.000 0.000 0.000
0.500 0.500 0.500
0.250 0.250 0.250
0.750 0.750 0.750
```

Properties
The calculation puts the size of the total moment at 7.53 μB per cell. As for the calculated volume: 42.2 Å³ per atom. Its energy of formation from the pure elements is 0.1797 eV per atom. Its density of states at the Fermi level is 11.1 states/eV/cell. The distance to the lowest polymorph of the same formula comes out at 0.048 eV/atom.